# 1
# Rb3LiH4 | Alexandria | PBE | optimized geometry
data_Rb3LiH4
_chemical_formula_sum 'Rb6 Li2 H8'
_cell_length_a 6.260
_cell_length_b 8.896
_cell_length_c 6.486
_cell_angle_alpha 90.00
_cell_angle_beta 90.00
_cell_angle_gamma 90.00
_symmetry_space_group_name_H-M 'I m m 2'
_symmetry_Int_Tables_number 44
loop_
_symmetry_equiv_pos_as_xyz
'x,y,z'
'-x,-y,z'
'-x,y,z'
'x,-y,z'
'x+1/2,y+1/2,z+1/2'
'-x+1/2,-y+1/2,z+1/2'
'-x+1/2,y+1/2,z+1/2'
'x+1/2,-y+1/2,z+1/2'
loop_
_atom_site_label
_atom_site_type_symbol
_atom_site_fract_x
_atom_site_fract_y
_atom_site_fract_z
Rb1 Rb 0.000 0.000 0.000
Rb2 Rb 0.000 0.239 0.525
Li1 Li 0.000 0.500 0.969
H1 H 0.000 0.317 0.118
H2 H 0.233 0.500 0.799
# total energy = -2.4053 eV/atom
# energy relative to the lowest polymorph listed for this composition = 0.0 meV per atom

---

# 2
# DyTi2CoN4 | Alexandria | PBE | optimized geometry
data_DyTi2CoN4
_chemical_formula_sum 'Dy4 Ti8 Co4 N16'
_cell_length_a 3.088
_cell_length_b 10.518
_cell_length_c 10.526
_cell_angle_alpha 90.00
_cell_angle_beta 90.00
_cell_angle_gamma 90.00
_symmetry_space_group_name_H-M 'C m c m'
_symmetry_Int_Tables_number 63
_symmetry_space_group_name_Hall '-C 2c 2'
loop_
_atom_site_label
_atom_site_type_symbol
_atom_site_fract_x
_atom_site_fract_y
_atom_site_fract_z
Dy1 Dy 0.000 0.110 0.250
Ti1 Ti 0.000 0.369 0.048
Co1 Co 0.000 0.154 0.750
N1 N 0.000 0.000 0.000
N2 N 0.000 0.269 0.612
N3 N 0.000 0.444 0.250
# total energy = -8.8025 eV/atom
# raw formation energy = -1.203 eV/atom

---

# 3
# CuNiH | Alexandria | PBE | optimized geometry
data_CuNiH
_chemical_formula_sum 'Cu2 Ni2 H2'
_cell_length_a 2.612
_cell_length_b 4.478
_cell_length_c 4.560
_cell_angle_alpha 79.77
_cell_angle_beta 73.42
_cell_angle_gamma 89.93
_symmetry_space_group_name_H-M 'P -1'
_symmetry_Int_Tables_number 2
loop_
_symmetry_equiv_pos_as_xyz
'x,y,z'
'-x,-y,-z'
loop_
_atom_site_label
_atom_site_type_symbol
_atom_site_fract_x
_atom_site_fract_y
_atom_site_fract_z
Cu1 Cu 0.115 0.370 0.267
Ni1 Ni 0.377 0.123 0.746
H1 H 0.231 0.789 0.037
# total energy = -4.4085 eV/atom
# energy relative to the lowest polymorph listed for this composition = 15.1 meV per atom

---

# 4
# Li2TcH6 | Alexandria | PBE | optimized geometry
data_Li2TcH6
_chemical_formula_sum 'Li4 Tc2 H12'
_cell_length_a 2.883
_cell_length_b 4.807
_cell_length_c 9.119
_cell_angle_alpha 90.00
_cell_angle_beta 90.00
_cell_angle_gamma 90.00
_symmetry_space_group_name_H-M 'I m m m'
_symmetry_Int_Tables_number 71
_symmetry_space_group_name_Hall '-I 2 2'
loop_
_atom_site_label
_atom_site_type_symbol
_atom_site_fract_x
_atom_site_fract_y
_atom_site_fract_z
Li1 Li 0.000 0.000 0.175
Tc1 Tc 0.000 0.000 0.500
H1 H 0.000 0.234 0.353
H2 H 0.000 0.274 0.000
# total energy = -3.9593 eV/atom
# energy relative to the lowest polymorph listed for this composition = 0.0 meV per atom

---

# 5
# CoTc2Pd | Alexandria | PBE | optimized geometry
data_CoTc2Pd
_chemical_formula_sum 'Co4 Tc8 Pd4'
_cell_length_a 6.089
_cell_length_b 6.089
_cell_length_c 6.089
_cell_angle_alpha 90.00
_cell_angle_beta 90.00
_cell_angle_gamma 90.00
_symmetry_space_group_name_H-M 'F m -3 m'
_symmetry_Int_Tables_number 225
_symmetry_space_group_name_Hall '-F 4 2 3'
loop_
_atom_site_label
_atom_site_type_symbol
_atom_site_fract_x
_atom_site_fract_y
_atom_site_fract_z
Co1 Co 0.000 0.000 0.000
Tc1 Tc 0.250 0.250 0.250
Pd1 Pd 0.000 0.000 0.500
# total energy = -7.7944 eV/atom
# energy relative to the lowest polymorph listed for this composition = 0.0 meV per atom
# energy of formation = 463 meV/atom

---

# 6
# MoOs | Alexandria | PBE | optimized geometry
data_MoOs
_chemical_formula_sum 'Mo8 Os8'
_cell_length_a 11.448
_cell_length_b 4.494
_cell_length_c 4.794
_cell_angle_alpha 90.00
_cell_angle_beta 90.00
_cell_angle_gamma 90.00
_symmetry_space_group_name_H-M 'P n m a'
_symmetry_Int_Tables_number 62
loop_
_symmetry_equiv_pos_as_xyz
'x,y,z'
'-x,-y,-z'
'-x+1/2,-y,z+1/2'
'x+1/2,y,-z+1/2'
'x+1/2,-y+1/2,-z+1/2'
'-x+1/2,y+1/2,z+1/2'
'-x,y+1/2,-z'
'x,-y+1/2,z'
loop_
_atom_site_label
_atom_site_type_symbol
_atom_site_fract_x
_atom_site_fract_y
_atom_site_fract_z
Mo1 Mo 0.114 0.250 0.185
Mo2 Mo 0.250 0.250 0.747
Os1 Os 0.001 0.250 0.667
Os2 Os 0.125 0.750 0.813
# total energy = -10.8310 eV/atom
# energy of formation = 199 meV/atom

---

# 7
# Na3CrTc | Alexandria | PBE | optimized geometry
data_Na3CrTc
_chemical_formula_sum 'Na3 Cr1 Tc1'
_cell_length_a 5.555
_cell_length_b 5.555
_cell_length_c 5.555
_cell_angle_alpha 90.00
_cell_angle_beta 90.00
_cell_angle_gamma 90.00
_symmetry_space_group_name_H-M 'P m -3 m'
_symmetry_Int_Tables_number 221
_symmetry_space_group_name_Hall '-P 4 2 3'
loop_
_atom_site_label
_atom_site_type_symbol
_atom_site_fract_x
_atom_site_fract_y
_atom_site_fract_z
Na1 Na 0.000 0.000 0.500
Cr1 Cr 0.000 0.000 0.000
Tc1 Tc 0.500 0.500 0.500
# total energy = -3.1148 eV/atom
# energy relative to the lowest polymorph listed for this composition = 0.0 meV per atom
# energy of formation = 1674 meV/atom

---

# 8
# NaBe3Os | Alexandria | PBE | optimized geometry
data_NaBe3Os
_chemical_formula_sum 'Na1 Be3 Os1'
_cell_length_a 4.324
_cell_length_b 4.324
_cell_length_c 4.324
_cell_angle_alpha 90.00
_cell_angle_beta 90.00
_cell_angle_gamma 90.00
_symmetry_space_group_name_H-M 'P m -3 m'
_symmetry_Int_Tables_number 221
_symmetry_space_group_name_Hall '-P 4 2 3'
loop_
_atom_site_label
_atom_site_type_symbol
_atom_site_fract_x
_atom_site_fract_y
_atom_site_fract_z
Na1 Na 0.000 0.000 0.000
Be1 Be 0.000 0.500 0.500
Os1 Os 0.500 0.500 0.500
# total energy = -4.2407 eV/atom
# energy relative to the lowest polymorph listed for this composition = 0.0 meV per atom
# energy of formation = 505 meV/atom

---

# 9
# Rb2AgAu2 | Alexandria | PBE | optimized geometry
data_Rb2AgAu2
_chemical_formula_sum 'Rb4 Ag2 Au4'
_cell_length_a 5.028
_cell_length_b 5.680
_cell_length_c 10.778
_cell_angle_alpha 90.00
_cell_angle_beta 90.00
_cell_angle_gamma 90.00
_symmetry_space_group_name_H-M 'I m m m'
_symmetry_Int_Tables_number 71
_symmetry_space_group_name_Hall '-I 2 2'
loop_
_atom_site_label
_atom_site_type_symbol
_atom_site_fract_x
_atom_site_fract_y
_atom_site_fract_z
Rb1 Rb 0.000 0.000 0.197
Ag1 Ag 0.000 0.500 0.000
Au1 Au 0.000 0.252 0.500
# total energy = -2.4777 eV/atom
# energy relative to the lowest polymorph listed for this composition = 0.0 meV per atom
# energy of formation = -210 meV/atom

---

# 10
# In2ReW | Alexandria | PBE | optimized geometry
data_In2ReW
_chemical_formula_sum 'In4 Re2 W2'
_cell_length_a 3.336
_cell_length_b 4.750
_cell_length_c 9.447
_cell_angle_alpha 90.00
_cell_angle_beta 90.00
_cell_angle_gamma 90.00
_symmetry_space_group_name_H-M 'I m m 2'
_symmetry_Int_Tables_number 44
loop_
_symmetry_equiv_pos_as_xyz
'x,y,z'
'-x,-y,z'
'-x,y,z'
'x,-y,z'
'x+1/2,y+1/2,z+1/2'
'-x+1/2,-y+1/2,z+1/2'
'-x+1/2,y+1/2,z+1/2'
'x+1/2,-y+1/2,z+1/2'
loop_
_atom_site_label
_atom_site_type_symbol
_atom_site_fract_x
_atom_site_fract_y
_atom_site_fract_z
In1 In 0.000 0.000 0.000
In2 In 0.000 0.500 0.222
Re1 Re 0.000 0.000 0.466
W1 W 0.000 0.500 0.762
# total energy = -7.1096 eV/atom
# energy relative to the lowest polymorph listed for this composition = 347.0 meV per atom
# energy of formation = 610 meV/atom

---

# 11
# NdZn2SiPd | Alexandria | PBE | optimized geometry
data_NdZn2SiPd
_chemical_formula_sum 'Nd2 Zn4 Si2 Pd2'
_cell_length_a 4.196
_cell_length_b 4.238
_cell_length_c 10.409
_cell_angle_alpha 90.00
_cell_angle_beta 90.00
_cell_angle_gamma 90.00
_symmetry_space_group_name_H-M 'I m m 2'
_symmetry_Int_Tables_number 44
loop_
_symmetry_equiv_pos_as_xyz
'x,y,z'
'-x,-y,z'
'-x,y,z'
'x,-y,z'
'x+1/2,y+1/2,z+1/2'
'-x+1/2,-y+1/2,z+1/2'
'-x+1/2,y+1/2,z+1/2'
'x+1/2,-y+1/2,z+1/2'
loop_
_atom_site_label
_atom_site_type_symbol
_atom_site_fract_x
_atom_site_fract_y
_atom_site_fract_z
Nd1 Nd 0.000 0.000 0.000
Zn1 Zn 0.000 0.000 0.382
Zn2 Zn 0.000 0.500 0.246
Si1 Si 0.000 0.000 0.614
Pd1 Pd 0.000 0.500 0.735
# total energy = -4.1872 eV/atom
# raw formation energy = -0.601 eV/atom